[1]
Density functional theory data (PBE) for a relaxed NaLi6Sn12 crystal.

The structure in extended XYZ format:
```
19
Lattice="8.1804 -0.1240 -0.1746 -2.1479 7.8944 -0.1746 -2.1479 -2.7667 7.3957" Properties=species:S:1:pos:R:3 pbc="T T T"
Sn 1.9423 -1.6055 6.4399
Sn -2.0369 5.5911 3.5233
Sn 1.8857 2.4289 6.1440
Sn -0.4921 1.9374 2.7284
Sn 1.9423 6.6092 0.6067
Sn 1.9989 0.0035 2.7284
Sn 4.3767 3.0663 4.3182
Sn -2.0369 1.4837 6.4399
Sn 5.9215 3.5200 0.6067
Sn 1.9989 2.5748 0.9025
Sn 5.9215 -0.5874 3.5233
Sn 1.8857 5.0002 4.3182
Li 4.5307 1.4159 1.9940
Li 3.6360 0.2635 5.0526
Li 0.2486 0.3203 5.1326
Li -0.6461 3.5878 5.0526
Li 0.2486 4.7403 1.9940
Li 3.6360 4.6834 1.9140
Na 0.0000 0.0000 0.0000
```

Values from the calculation:
- energy of formation from the pure elements (eV/atom) = -0.1387
- crystal system = trigonal

***

[2]
Density functional theory data (PBE) for a relaxed YPaGa6 crystal.

The structure in extended XYZ format:
```
8
Lattice="4.5642 0.0000 0.0000 0.0000 5.5372 -2.9613 0.0000 -0.2037 6.2760" Properties=species:S:1:pos:R:3 pbc="T T T"
Ga 0.0000 3.1420 4.2110
Ga 2.2821 2.4828 -0.7043
Ga 0.0000 3.2555 0.7100
Ga 2.2821 4.9569 -2.0276
Ga 2.2821 4.8658 0.7767
Ga 0.0000 0.1666 2.3618
Y 0.0000 0.2745 5.5065
Pa 2.2821 2.1880 2.4276
```

Values from the calculation:
- energy of formation from the pure elements (eV/atom) = -0.4551
- crystal system = hexagonal

***

[3]
Density functional theory data (PBE) for a relaxed CaGe2Te2 crystal.

The structure in extended XYZ format:
```
5
Lattice="-5.3149 -1.7817 1.4511 1.7301 -5.5092 -0.4275 -0.6789 -3.6152 4.6275" Properties=species:S:1:pos:R:3 pbc="T T T"
Te -3.8930 -4.5212 3.2952
Te -0.3705 -6.3850 2.3559
Ca 0.0000 0.0000 0.0000
Ge -2.8152 -7.2700 3.8680
Ge -1.4484 -3.6361 1.7831
```

Values from the calculation:
- energy above the most stable polymorph in this dataset (meV per atom) = 0
- uncorrected formation energy (eV per atom) = -0.383
- crystal system = tetragonal

***

[4]
Density functional theory data (PBE) for a relaxed KAlCu crystal.

The structure in extended XYZ format:
```
3
Lattice="4.8673 0.0000 0.0000 2.4337 4.2152 0.0000 2.4337 1.4051 3.9742" Properties=species:S:1:pos:R:3 pbc="T T T"
K 0.0000 0.0000 0.0000
Cu 7.3010 4.2152 2.9806
Al 4.8673 2.8101 1.9871
```

Values from the calculation:
- energy above the most stable polymorph in this dataset (meV per atom) = 441
- energy of formation from the pure elements (eV/atom) = 0.6110
- crystal system = cubic

***

[5]
Density functional theory data (PBE) for a relaxed UPaI2O6 crystal.

The structure in extended XYZ format:
```
10
Lattice="-3.3101 2.1781 4.7816 3.5932 -3.1801 3.9370 2.8733 2.9678 4.6822" Properties=species:S:1:pos:R:3 pbc="T T T"
I -0.1492 2.3223 6.9116
I 3.3056 -0.3563 6.4892
O 4.6254 1.2167 8.8451
O 3.0811 2.2328 11.0740
O 1.5580 0.6171 8.8686
O -1.4690 0.7493 4.5557
O 1.5983 1.3488 4.5322
O 0.0752 -0.2669 2.3268
Pa 0.0000 0.0000 0.0000
U 0.1415 -0.5010 4.3593
```

Values from the calculation:
- uncorrected formation energy (eV per atom) = -2.049
- crystal system = monoclinic

***

[6]
Density functional theory data (PBE) for a relaxed ThAl2ZnCu4 crystal.

The structure in extended XYZ format:
```
8
Lattice="4.1773 0.0000 0.0000 2.0886 3.6176 0.0000 2.0886 1.2059 8.5758" Properties=species:S:1:pos:R:3 pbc="T T T"
Al 2.0886 1.2059 2.4002
Al 6.2659 3.6176 6.1756
Zn 4.1773 2.4117 4.2879
Cu 4.1773 2.4117 1.8256
Cu 4.1773 2.4117 6.7501
Cu 2.0886 1.2059 5.1708
Cu 6.2659 3.6176 3.4050
Th 0.0000 0.0000 0.0000
```

Values from the calculation:
- energy of formation from the pure elements (eV/atom) = -0.2425
- crystal system = trigonal

***

[7]
Density functional theory data (PBE) for a relaxed YAlCr crystal.

The structure in extended XYZ format:
```
12
Lattice="5.8794 0.0000 0.2157 0.0000 4.7913 0.0000 -2.9165 0.0000 8.6267" Properties=species:S:1:pos:R:3 pbc="T T T"
Y -0.3185 2.3956 7.4884
Y 1.1397 0.0000 3.1751
Y 2.5092 2.3956 5.2960
Y 3.9675 0.0000 0.9826
Cr 0.4744 2.3956 1.4004
Cr -0.9839 0.0000 5.7137
Cr 2.5544 2.3956 8.1988
Cr 4.0126 0.0000 3.8855
Al -0.5278 2.3956 4.1927
Al 1.7626 0.0000 6.7847
Al -1.9861 0.0000 8.5060
Al 3.2209 2.3956 2.4713
```

Values from the calculation:
- energy of formation from the pure elements (eV/atom) = 0.0188
- crystal system = monoclinic

***

[8]
Density functional theory data (PBE) for a relaxed BaTiBe2Os crystal.

The structure in extended XYZ format:
```
5
Lattice="-2.1965 -0.6382 -4.0130 -3.0972 -3.4649 2.2464 -2.9715 3.3638 1.0915" Properties=species:S:1:pos:R:3 pbc="T T T"
Be -1.4857 1.6819 0.5457
Be -1.0983 -0.3191 -2.0065
Ba 0.0000 0.0000 0.0000
Ti -4.1326 -0.3697 -0.3376
Os -1.5486 -1.7324 1.1232
```

Values from the calculation:
- energy of formation from the pure elements (eV/atom) = 2.5956
- crystal system = tetragonal